Here is an optimized crystal structure of La2VCl2 from the Alexandria database. Energies are from PBE.

E_tot: -5.317 eV per atom
ρ: 5.04 g cm⁻³
ΔE to the lowest computed polymorph: 0.0 kJ/mol of atoms

a b c (Å): 5.7998 5.7998 5.6690
angles (deg): 59.23 59.23 90.00
Fractional positions:
La  0.7500  0.2500  0.5000
Cl  0.6992  0.6992  0.6015
La  0.2500  0.7500  0.5000
Cl  0.3008  0.3008  0.3985
V  0.0000  0.0000  0.0000